Entry 1:
# Nd6AsP4, relaxed, DFT PBE
# energy: -6.40 eV/atom
data_Nd6AsP4
_space_group_name_H-M_alt 'P 1'
_space_group_IT_number 1
_cell_length_a 4.160
_cell_length_b 7.157
_cell_length_c 20.846
_cell_angle_alpha 90.00
_cell_angle_beta 90.00
_cell_angle_gamma 106.90
loop_
_space_group_symop_operation_xyz
'x,y,z'
loop_
_atom_site_label
_atom_site_fract_x
_atom_site_fract_y
_atom_site_fract_z
Nd1 0.044 0.089 0.338
Nd2 0.225 0.451 0.918
Nd3 0.225 0.451 0.582
Nd4 0.318 0.636 0.250
Nd5 0.956 0.911 0.662
Nd6 0.500 0.000 0.000
Nd7 0.775 0.549 0.082
Nd8 0.956 0.911 0.838
Nd9 0.682 0.364 0.750
Nd10 0.775 0.549 0.418
Nd11 0.500 0.000 0.500
Nd12 0.044 0.089 0.162
P1 0.590 0.181 0.628
P2 0.590 0.181 0.872
P3 0.863 0.725 0.957
P4 0.863 0.725 0.543
P5 0.137 0.275 0.043
P6 0.410 0.819 0.372
P7 0.137 0.275 0.457
P8 0.410 0.819 0.128
As1 0.337 0.674 0.750
As2 0.663 0.326 0.250



Entry 2:
# Nd8As5P, relaxed, DFT PBE
# energy: -6.04 eV/atom
data_Nd8As5P
_space_group_name_H-M_alt 'P 1'
_space_group_IT_number 1
_cell_length_a 7.801
_cell_length_b 7.801
_cell_length_c 7.801
_cell_angle_alpha 109.60
_cell_angle_beta 109.21
_cell_angle_gamma 109.60
loop_
_space_group_symop_operation_xyz
'x,y,z'
loop_
_atom_site_label
_atom_site_fract_x
_atom_site_fract_y
_atom_site_fract_z
Nd1 0.491 0.616 0.240
Nd2 0.623 0.384 0.875
Nd3 0.125 0.749 0.509
Nd4 0.997 0.123 0.740
Nd5 0.260 0.256 0.383
Nd6 0.617 0.877 0.874
Nd7 0.760 0.251 0.377
Nd8 0.126 0.744 0.003
As1 0.877 0.874 0.249
As2 0.998 0.372 0.123
As3 0.500 0.000 0.500
As4 0.374 0.126 0.002
As5 0.751 0.628 0.626
P1 0.250 0.500 0.750